# LaBe2WO, optimized geometry, DFT PBE with a Hubbard U
# **V**: 22.495 Å³/atom
# **E_tot**: -3.8763 eV per atom
# **DOS(E_F)**: 3.66 states/eV/f.u.
data_LaBe2WO
_chemical_formula_sum 'La1 Be2 W1 O1'
_symmetry_space_group_name_H-M 'P 4/m m m'
_symmetry_Int_Tables_number 123
_symmetry_space_group_name_Hall '-P 4 2'
_cell_length_a 4.249
_cell_length_b 4.249
_cell_length_c 6.229
_cell_angle_alpha 90.00
_cell_angle_beta 90.00
_cell_angle_gamma 90.00
loop_
_atom_site_label
_atom_site_type_symbol
_atom_site_fract_x
_atom_site_fract_y
_atom_site_fract_z
La1 La 0.000 0.000 0.000
Be1 Be 0.000 0.500 0.500
W1 W 0.000 0.000 0.500
O1 O 0.500 0.500 0.000